The following is a DFT calculation (PBE-GGA) of an optimized crystal structure of LaAu.

a b c (Å): 4.820 4.820 4.820
angles (deg): 60.00 60.00 60.00
Fractional positions:
Au1 0.000 0.000 0.000
La1 0.250 0.250 0.250

Values from the calculation:
Energy of formation: -6.50 kcal/mol of atoms
Calculated volume: 79.20 Å³/cell
Space-group type: No. 216